A plane-wave DFT calculation with PBE was carried out for a relaxed ZrTiAu crystal.

Calculated values
Density of states at the Fermi level in states/eV per atom: 1.198
Spin magnetization in μB per formula unit: 1.666
Energy relative to the lowest polymorph listed for this composition in meV/atom: 207.0
Formation energy from the elements in meV per atom: -113.9

abc: 3.2576 4.6048 4.6048
angles: 120.00 90.00 90.00
Site moments in Bohr magnetons follow the coordinates.
Atoms (fractional coordinates):
Au  0.1666  0.3333  0.6667  0.05
Zr  0.6668  0.6667  0.3333  0.33
Ti  0.1666  0.0000  0.0000  0.84



A plane-wave DFT calculation with PBE was carried out for a relaxed Th4Cd5Rh2 crystal.

Calculated values
Density of states at the Fermi level in states/eV per atom: 0.837
Spin magnetization in μB per formula unit: 0.000
Formation energy from the elements in meV per atom: -402.0

abc: 3.7653 7.8444 9.7333
angles: 93.98 90.00 90.00
Atoms (fractional coordinates):
Th  0.5000  0.7788  0.5566
Th  0.5000  0.1688  0.8502
Th  0.5000  0.2212  0.4434
Th  0.5000  0.8312  0.1498
Cd  0.0000  0.5420  0.3202
Cd  0.0000  0.1862  0.1474
Cd  0.0000  0.5000  0.0000
Cd  0.0000  0.8138  0.8526
Cd  0.0000  0.4580  0.6798
Rh  0.0000  0.0777  0.6411
Rh  0.0000  0.9223  0.3589



A plane-wave DFT calculation with PBE was carried out for a relaxed K4Pm3HoTe8 crystal.

Calculated values
E_form (uncorrected) in eV per atom: -1.408
Spin magnetization in μB per formula unit: 0.000

abc: 9.1287 9.7944 9.1293
angles: 117.80 120.00 90.00
Atoms (fractional coordinates):
K  0.5000  0.0000  0.0000
K  0.5000  0.0000  0.5000
K  0.0000  0.0000  0.0000
K  0.0000  0.0000  0.5000
Pm  0.5000  0.5000  0.0000
Pm  0.5000  0.5000  0.5000
Pm  0.0000  0.5000  0.5000
Ho  0.0000  0.5000  0.0000
Te  0.2340  0.7111  0.9773
Te  0.2341  0.7111  0.4681
Te  0.2618  0.2857  0.5236
Te  0.7433  0.7111  0.9773
Te  0.2567  0.2889  0.0227
Te  0.7382  0.7143  0.4764
Te  0.7659  0.2889  0.5319
Te  0.7660  0.2889  0.0227



A plane-wave DFT calculation with PBE was carried out for a relaxed KTePI2 crystal.

Calculated values
Density of states at the Fermi level in states/eV per atom: 3.029
E_form (uncorrected) in eV per atom: 0.836
Spin magnetization in μB per formula unit: 3.819
Energy relative to the lowest polymorph listed for this composition in meV/atom: 1118.8

abc: 6.4909 6.4909 6.6501
angles: 90.00 90.00 90.00
Site moments in Bohr magnetons follow the coordinates.
Atoms (fractional coordinates):
I  0.0000  0.5000  0.0000  0.23
I  0.5000  0.0000  0.0000  0.23
P  0.5000  0.5000  0.5000  1.12
K  0.0000  0.0000  0.0000  0.01
Te  0.0000  0.0000  0.5000  0.23



A plane-wave DFT calculation with PBE was carried out for a relaxed Ga2AgAu2 crystal.

Calculated values
Density of states at the Fermi level in states/eV per atom: 0.300
Spin magnetization in μB per formula unit: 0.000
Energy relative to the lowest polymorph listed for this composition in meV/atom: 72.4
Formation energy from the elements in meV per atom: -60.2

abc: 3.8487 3.8487 6.9879
angles: 74.01 74.01 90.00
Atoms (fractional coordinates):
Au  0.3939  0.3939  0.2123
Au  0.6061  0.6061  0.7877
Ga  0.7500  0.2500  0.5000
Ga  0.2500  0.7500  0.5000
Ag  0.0000  0.0000  0.0000



A plane-wave DFT calculation with PBE was carried out for a relaxed La4Mg2W crystal.

Calculated values
Density of states at the Fermi level in states/eV per atom: 1.321
Spin magnetization in μB per formula unit: 0.000
Formation energy from the elements in meV per atom: 376.6

abc: 5.5464 5.5464 9.2404
angles: 72.54 72.54 90.00
Atoms (fractional coordinates):
Mg  0.6274  0.6274  0.7452
Mg  0.3726  0.3726  0.2548
W  0.0000  0.0000  0.0000
La  0.8289  0.8289  0.3421
La  0.1711  0.1711  0.6579
La  0.0000  0.5000  0.0000
La  0.5000  0.0000  0.0000



A plane-wave DFT calculation with PBE was carried out for a relaxed CdReAg3 crystal.

Calculated values
Density of states at the Fermi level in states/eV per atom: 0.775
Spin magnetization in μB per formula unit: 2.540
Energy relative to the lowest polymorph listed for this composition in meV/atom: 0.0
Formation energy from the elements in meV per atom: 1504.2

abc: 5.1347 5.1347 5.1347
angles: 90.00 90.00 90.00
Site moments in Bohr magnetons follow the coordinates.
Atoms (fractional coordinates):
Re  0.0000  0.0000  0.0000  1.90
Ag  0.0000  0.5000  0.0000  0.09
Ag  0.0000  0.0000  0.5000  0.15
Ag  0.5000  0.0000  0.0000  0.05
Cd  0.5000  0.5000  0.5000  0.03



A plane-wave DFT calculation with PBE was carried out for a relaxed Tb3Dy4PuS8 crystal.

Calculated values
Density of states at the Fermi level in states/eV per atom: 0.742
E_form (uncorrected) in eV per atom: -1.985
Spin magnetization in μB per formula unit: 5.771

abc: 7.8380 7.8383 7.8373
angles: 120.00 120.00 90.00
Site moments in Bohr magnetons follow the coordinates.
Atoms (fractional coordinates):
Tb  0.5000  0.5000  0.0000  0.03
Tb  0.5000  0.5000  0.5000  0.03
Tb  0.0000  0.5000  0.5000  0.03
Dy  0.5000  0.0000  0.0000  -0.06
Dy  0.5000  0.0000  0.5000  0.03
Dy  0.0000  0.0000  0.0000  0.03
Dy  0.0000  0.0000  0.5000  0.03
Pu  0.0000  0.5000  0.0000  5.33
S  0.2512  0.7526  0.0014  -0.02
S  0.2512  0.7526  0.5024  -0.02
S  0.2493  0.2479  0.4986  0.00
S  0.7501  0.7526  0.0014  -0.02
S  0.2499  0.2474  0.9986  -0.02
S  0.7507  0.7521  0.5014  0.00
S  0.7488  0.2474  0.4976  -0.02
S  0.7488  0.2474  0.9986  -0.02



A plane-wave DFT calculation with PBE was carried out for a relaxed SrTbCdHg crystal.

Calculated values
Density of states at the Fermi level in states/eV per atom: 0.995
Spin magnetization in μB per formula unit: 0.000
Energy relative to the lowest polymorph listed for this composition in meV/atom: 48.0
Formation energy from the elements in meV per atom: -364.1

abc: 5.4757 5.4757 5.4757
angles: 60.00 60.00 60.00
Atoms (fractional coordinates):
Sr  0.0000  0.0000  0.0000
Tb  0.5000  0.5000  0.5000
Hg  0.2500  0.2500  0.2500
Cd  0.7500  0.7500  0.7500



A plane-wave DFT calculation with PBE was carried out for a relaxed RbMgScI6 crystal.

Calculated values
Density of states at the Fermi level in states/eV per atom: 0.000
E_form (uncorrected) in eV per atom: -1.224
Spin magnetization in μB per formula unit: 0.000

abc: 7.5675 7.5675 16.5958
angles: 90.00 90.00 120.00
Atoms (fractional coordinates):
Rb  0.0000  0.0000  0.0000
Rb  0.0000  0.0000  0.5000
Mg  0.6667  0.3333  0.2500
Mg  0.3333  0.6667  0.7500
Sc  0.3333  0.6667  0.2500
Sc  0.6667  0.3333  0.7500
I  0.6279  0.6313  0.1486
I  0.0034  0.3721  0.1486
I  0.3721  0.0034  0.6486
I  0.9966  0.6279  0.8514
I  0.3687  0.3721  0.3514
I  0.0034  0.6313  0.3514
I  0.6313  0.0034  0.8514
I  0.6279  0.9966  0.3514
I  0.9966  0.3687  0.6486
I  0.3687  0.9966  0.1486
I  0.6313  0.6279  0.6486
I  0.3721  0.3687  0.8514



A plane-wave DFT calculation with PBE was carried out for a relaxed DyAlGa2Cu4 crystal.

Calculated values
Density of states at the Fermi level in states/eV per atom: 0.231
Spin magnetization in μB per formula unit: 0.000
Formation energy from the elements in meV per atom: -262.5

abc: 4.1713 4.1713 8.6677
angles: 76.08 76.08 60.00
Atoms (fractional coordinates):
Dy  0.0000  0.0000  0.0000
Al  0.5000  0.5000  0.5000
Ga  0.7509  0.7509  0.7473
Ga  0.2491  0.2491  0.2527
Cu  0.4025  0.4025  0.7926
Cu  0.8686  0.8686  0.3942
Cu  0.1314  0.1314  0.6058
Cu  0.5975  0.5975  0.2074



A plane-wave DFT calculation with PBE was carried out for a relaxed Na3ZnPd3O8 crystal.

Calculated values
Density of states at the Fermi level in states/eV per atom: 0.013
E_form (uncorrected) in eV per atom: -0.893
Spin magnetization in μB per formula unit: 1.003

abc: 6.1686 6.3290 6.4331
angles: 118.42 90.00 119.17
Site moments in Bohr magnetons follow the coordinates.
Atoms (fractional coordinates):
Na  0.0000  0.0000  0.0000  0.01
Na  0.0000  0.5000  0.0000  0.00
Na  0.5000  0.5000  0.0000  0.00
Zn  0.0000  0.0000  0.5000  0.00
Pd  0.5000  0.0000  0.5000  0.56
Pd  0.5000  0.5000  0.5000  0.00
Pd  0.0000  0.5000  0.5000  0.00
O  0.2480  0.4960  0.2876  0.14
O  0.7520  0.5040  0.7124  0.14
O  0.7640  0.5279  0.3013  0.00
O  0.2360  0.4721  0.6987  0.00
O  0.7720  0.0556  0.3125  0.02
O  0.2280  0.9444  0.6875  0.02
O  0.2836  0.0556  0.3125  0.02
O  0.7164  0.9444  0.6875  0.02